# 1
Material: TmGeHO4
Method: DFT, PBE
State: optimized geometry

a b c (Å): 5.108 6.482 4.502
angles (deg): 90.00 97.72 90.00
Element x y z (fractional)
O 0.349 0.750 0.824
O 0.899 0.453 0.721
O 0.101 0.547 0.279
O 0.645 0.750 0.372
O 0.355 0.250 0.628
O 0.899 0.047 0.721
O 0.101 0.953 0.279
O 0.651 0.250 0.176
Ge 0.320 0.750 0.432
Ge 0.680 0.250 0.568
Tm 0.798 0.750 0.944
Tm 0.202 0.250 0.056
H 0.000 0.500 0.500
H 0.000 0.000 0.500

Calculated volume   147.7 Å³/cell
Energy above the most stable polymorph in this dataset   91.8 meV/atom
Magnetic moment   0.00 μB per formula unit
Density   6.89 g/cm³

# 2
Material: ThGa6Cu6
Method: DFT, PBE
State: optimized geometry

a b c (Å): 6.704 6.704 6.704
angles (deg): 134.67 99.98 97.11
Element x y z (fractional)
Ga 0.649 0.000 0.649
Ga 0.351 0.000 0.351
Ga 0.802 0.302 0.500
Ga 0.350 0.350 0.000
Ga 0.650 0.650 0.000
Ga 0.198 0.698 0.500
Cu 0.767 0.500 0.267
Cu 0.500 0.000 0.000
Cu 0.000 0.500 0.000
Cu 0.500 0.500 0.500
Cu 0.000 0.000 0.500
Cu 0.233 0.500 0.733
Th 0.000 0.000 0.000

Calculated volume   197.7 Å³/cell
Electronic total energy   -3.944 eV/atom
Magnetic moment   0.00 μB per formula unit
Density   8.67 g/cm³